A relaxed structure of TiSe2IBr, computed with GGA-PBEsol.

abc: 4.961 4.961 4.993
angles: 90.00 90.00 90.00
Space group P4/mmm (No. 123)
Asymmetric unit:
Ti: 0.000 0.000 0.000 x1
Se: 0.000 0.500 0.000 x2
I: 0.500 0.500 0.500 x1
Br: 0.000 0.000 0.500 x1

Results
Energy relative to the elements, uncorrected   -0.375 eV/atom
Uncorrected energy   -4.307 eV/atom
Theoretical density   5.58 Mg/m³
Density of states at the Fermi level   4.13 states/eV per cell

***

A relaxed structure of CoCuNi2, computed with GGA-PBEsol.

abc: 2.450 2.450 7.032
angles: 90.00 90.00 90.00
Space group P4mm (No. 99)
Asymmetric unit:
Co: 0.000 0.000 0.000 x1
Cu: 0.500 0.500 0.259 x1
Ni: 0.000 0.000 0.513 x1
Ni: 0.500 0.500 0.759 x1

Results
Uncorrected energy   -6.046 eV/atom
Theoretical density   9.44 Mg/m³
E_form   19 kJ/mol of formula units
Density of states at the Fermi level   4.22 states/eV per cell

***

A relaxed structure of KTlCl2, computed with GGA-PBEsol.

abc: 4.005 4.040 14.927
angles: 90.00 90.00 90.00
Space group Imm2 (No. 44)
Asymmetric unit:
K: 0.000 0.000 0.000 x2
Tl: 0.000 0.500 0.747 x2
Cl: 0.000 0.000 0.583 x2
Cl: 0.000 0.500 0.338 x2

Results
Energy relative to the elements, uncorrected   -1.389 eV/atom
Offset from the most stable computed form   46.7 meV per atom
Uncorrected energy   -3.334 eV/atom
Theoretical density   4.32 Mg/m³
Density of states at the Fermi level   0.00 states/eV per cell